w | Density functional theory data (GGA-PBE) for a relaxed structure of Zr2Hg2Te.

Computed properties:
* N(E_F): 0.4339 states/eV/atom
* space group: P4/mbm, No. 127

a = 7.4169 Å, b = 7.4169 Å, c = 4.4431 Å
α = 90.00°, β = 90.00°, γ = 90.00°
With the nearest neighbours (Å) after each atom.
Fractional positions:
1 Zr 0.1529 0.3471 0.0000  2 Te 2.81, 6 Hg 3.05-3.15
2 Zr 0.6529 0.1529 0.0000  2 Te 2.81, 6 Hg 3.05-3.15
3 Zr 0.8471 0.6529 0.0000  2 Te 2.81, 6 Hg 3.05-3.15
4 Zr 0.3471 0.8471 0.0000  2 Te 2.81, 6 Hg 3.05-3.15
5 Hg 0.6479 0.8521 0.5000  6 Zr 3.05-3.15, 1 Hg 3.10
6 Hg 0.3521 0.1479 0.5000  6 Zr 3.05-3.15, 1 Hg 3.10
7 Hg 0.8521 0.3521 0.5000  6 Zr 3.05-3.15, 1 Hg 3.10
8 Hg 0.1479 0.6479 0.5000  6 Zr 3.05-3.15, 1 Hg 3.10
9 Te 0.5000 0.5000 0.0000  4 Zr 2.81
10 Te 0.0000 0.0000 0.0000  4 Zr 2.81

x | Density functional theory data (GGA-PBE) for a relaxed structure of Zr2Hg2Te.

Computed properties:
* N(E_F): 0.5468 states/eV/atom
* space group: I4/mmm, No. 139

a = 3.9366 Å, b = 3.9366 Å, c = 8.3126 Å
α = 76.30°, β = 76.30°, γ = 90.00°
With the nearest neighbours (Å) after each atom.
Fractional positions:
1 Zr 0.5962 0.5962 0.8077  1 Zr 3.01, 4 Hg 3.11, 4 Te 3.17
2 Zr 0.4038 0.4038 0.1923  1 Zr 3.01, 4 Hg 3.11, 4 Te 3.17
3 Hg 0.7500 0.2500 0.5000  4 Hg 2.78, 4 Zr 3.11
4 Hg 0.2500 0.7500 0.5000  4 Hg 2.78, 4 Zr 3.11
5 Te 0.0000 0.0000 0.0000  8 Zr 3.17

Of them, w has the highest stability.

w | Density functional theory data (GGA-PBE) for a relaxed structure of ZrHgTe3.

Computed properties:
* N(E_F): 1.7523 states/eV/atom
* space group: Pm-3m, No. 221

a = 5.4956 Å, b = 5.4956 Å, c = 5.4956 Å
α = 90.00°, β = 90.00°, γ = 90.00°
With the nearest neighbours (Å) after each atom.
Fractional positions:
1 Hg 0.0000 0.0000 0.0000  6 Te 2.75
2 Te 0.0000 0.5000 0.0000  2 Hg 2.75
3 Te 0.0000 0.0000 0.5000  2 Hg 2.75
4 Te 0.5000 0.0000 0.0000  2 Hg 2.75
5 Zr 0.5000 0.5000 0.5000  12 Te 3.89

x | Density functional theory data (GGA-PBE) for a relaxed structure of ZrHgTe3.

Computed properties:
* N(E_F): 1.0043 states/eV/atom
* space group: Pm-3m, No. 221

a = 5.6303 Å, b = 5.6303 Å, c = 5.6303 Å
α = 90.00°, β = 90.00°, γ = 90.00°
With the nearest neighbours (Å) after each atom.
Fractional positions:
1 Zr 0.0000 0.0000 0.0000  6 Te 2.82
2 Te 0.0000 0.5000 0.0000  2 Zr 2.82
3 Te 0.5000 0.0000 0.0000  2 Zr 2.82
4 Te 0.0000 0.0000 0.5000  2 Zr 2.82
5 Hg 0.5000 0.5000 0.5000  12 Te 3.98

Of them, x has the highest stability.

w | Density functional theory data (GGA-PBE) for a relaxed structure of Zr2HgTe.

Computed properties:
* N(E_F): 0.8946 states/eV/atom
* space group: Imm2, No. 44

a = 6.1699 Å, b = 6.1699 Å, c = 6.1699 Å
α = 146.84°, β = 132.72°, γ = 58.96°
With the nearest neighbours (Å) after each atom.
Fractional positions:
1 Te 0.2304 0.7304 0.5000  6 Zr 2.95-3.06
2 Hg 0.4927 0.4927 0.0000  4 Zr 3.04, 2 Te 3.32
3 Zr 0.7670 0.2670 0.5000  4 Te 3.06, 2 Zr 3.15
4 Zr 0.0099 0.0099 0.0000  2 Te 2.95, 4 Hg 3.04, 2 Zr 3.15

x | Density functional theory data (GGA-PBE) for a relaxed structure of Zr2HgTe.

Computed properties:
* N(E_F): 1.2708 states/eV/atom
* space group: P4mm, No. 99

a = 3.9004 Å, b = 3.9004 Å, c = 6.1782 Å
α = 90.00°, β = 90.00°, γ = 90.00°
With the nearest neighbours (Å) after each atom.
Fractional positions:
1 Hg 0.0000 0.0000 0.4609  6 Zr 2.96-3.21
2 Te 0.5000 0.5000 0.7861  6 Zr 3.00-3.18
3 Zr 0.5000 0.5000 0.2719  4 Hg 3.00, 2 Te 3.00-3.18, 4 Zr 3.29
4 Zr 0.0000 0.0000 0.9811  2 Hg 2.96-3.21, 4 Te 3.01, 4 Zr 3.29

Of them, x has the highest stability.

w | Density functional theory data (GGA-PBE) for a relaxed structure of Zr2HgTe.

Computed properties:
* N(E_F): 1.2722 states/eV/atom
* space group: R3m, No. 160

a = 3.5925 Å, b = 3.5925 Å, c = 8.8927 Å
α = 78.35°, β = 78.35°, γ = 60.00°
With the nearest neighbours (Å) after each atom.
Fractional positions:
1 Zr 0.0806 0.0806 0.7581  3 Te 2.95, 3 Hg 3.05
2 Zr 0.2525 0.2525 0.2426  3 Te 2.95, 3 Hg 3.04
3 Hg 0.5002 0.5002 0.4994  6 Zr 3.04-3.05
4 Te 0.6667 0.6667 0.9999  6 Zr 2.95

x | Density functional theory data (GGA-PBE) for a relaxed structure of Zr2HgTe.

Computed properties:
* N(E_F): 0.7955 states/eV/atom
* space group: I-4m2, No. 119

a = 5.8243 Å, b = 5.8243 Å, c = 5.8243 Å
α = 137.02°, β = 137.02°, γ = 62.40°
With the nearest neighbours (Å) after each atom.
Fractional positions:
1 Te 0.7500 0.2500 0.5000  8 Zr 3.02-3.28, 4 Hg 3.28
2 Zr 0.2500 0.7500 0.5000  4 Te 3.02, 4 Zr 3.28, 4 Hg 3.28
3 Zr 0.0000 0.0000 0.0000  4 Hg 3.02, 4 Zr 3.28, 4 Te 3.28
4 Hg 0.5000 0.5000 0.0000  8 Zr 3.02-3.28, 4 Te 3.28

y | Density functional theory data (GGA-PBE) for a relaxed structure of Zr2HgTe.

Computed properties:
* N(E_F): 1.0886 states/eV/atom
* space group: Fm-3m, No. 225

a = 5.0167 Å, b = 5.0167 Å, c = 5.0167 Å
α = 60.00°, β = 60.00°, γ = 60.00°
With the nearest neighbours (Å) after each atom.
Fractional positions:
1 Zr 0.7500 0.7500 0.7500  4 Te 3.07, 4 Hg 3.07
2 Zr 0.2500 0.2500 0.2500  4 Hg 3.07, 4 Te 3.07
3 Hg 0.5000 0.5000 0.5000  8 Zr 3.07
4 Te 0.0000 0.0000 0.0000  8 Zr 3.07

z | Density functional theory data (GGA-PBE) for a relaxed structure of Zr2HgTe.

Computed properties:
* N(E_F): 0.5937 states/eV/atom
* space group: Cm, No. 8

a = 5.6881 Å, b = 5.6881 Å, c = 4.9209 Å
α = 81.03°, β = 81.03°, γ = 36.19°
With the nearest neighbours (Å) after each atom.
Fractional positions:
1 Zr 0.0119 0.0119 0.8984  3 Te 2.98-3.02, 4 Hg 3.01-3.05
2 Zr 0.2466 0.2466 0.3440  3 Hg 2.86-3.13, 4 Te 3.02-3.05
3 Te 0.7367 0.7367 0.8515  7 Zr 2.98-3.05
4 Hg 0.5047 0.5047 0.4061  7 Zr 2.86-3.13

Of them, z has the highest stability.

w | Density functional theory data (GGA-PBE) for a relaxed structure of Zr2HgTe.

Computed properties:
* N(E_F): 0.7140 states/eV/atom
* space group: I-42d, No. 122

a = 6.1211 Å, b = 6.1211 Å, c = 8.2771 Å
α = 68.30°, β = 68.30°, γ = 90.00°
With the nearest neighbours (Å) after each atom.
Fractional positions:
1 Te 0.2500 0.7500 0.5000  4 Zr 2.87
2 Te 0.5000 0.5000 0.0000  4 Zr 2.87
3 Zr 0.3750 0.3535 0.7500  2 Hg 2.72, 2 Te 2.87
4 Zr 0.6465 0.1250 0.2500  2 Hg 2.72, 2 Te 2.87
5 Zr 0.1035 0.6250 0.2500  2 Hg 2.72, 2 Te 2.87
6 Zr 0.8750 0.8965 0.7500  2 Hg 2.72, 2 Te 2.87
7 Hg 0.0000 0.0000 0.0000  4 Zr 2.72
8 Hg 0.7500 0.2500 0.5000  4 Zr 2.72

x | Density functional theory data (GGA-PBE) for a relaxed structure of Zr2HgTe.

Computed properties:
* N(E_F): 1.0488 states/eV/atom
* space group: P2/m, No. 10

a = 3.5185 Å, b = 3.5205 Å, c = 8.0560 Å
α = 64.01°, β = 90.00°, γ = 90.00°
With the nearest neighbours (Å) after each atom.
Fractional positions:
1 Zr 0.0000 0.0140 0.9862  4 Te 3.02, 4 Hg 3.14
2 Zr 0.0000 0.4860 0.5138  4 Te 3.02, 4 Hg 3.14
3 Te 0.5000 0.7500 0.7500  8 Zr 3.02
4 Hg 0.5000 0.2500 0.2500  8 Zr 3.14

y | Density functional theory data (GGA-PBE) for a relaxed structure of Zr2HgTe.

Computed properties:
* N(E_F): 1.1237 states/eV/atom
* space group: F-43m, No. 216

a = 5.1423 Å, b = 5.1423 Å, c = 5.1423 Å
α = 60.00°, β = 60.00°, γ = 60.00°
With the nearest neighbours (Å) after each atom.
Fractional positions:
1 Zr 0.7500 0.7500 0.7500  4 Zr 3.15, 4 Hg 3.15
2 Zr 0.0000 0.0000 0.0000  4 Zr 3.15, 4 Te 3.15
3 Te 0.2500 0.2500 0.2500  4 Hg 3.15, 4 Zr 3.15
4 Hg 0.5000 0.5000 0.5000  4 Te 3.15, 4 Zr 3.15

Of them, x has the highest stability.

w | Density functional theory data (GGA-PBE) for a relaxed structure of Zr2HgTe.

Computed properties:
* N(E_F): 0.8856 states/eV/atom
* space group: R-3m, No. 166

a = 8.8182 Å, b = 8.8182 Å, c = 8.8182 Å
α = 23.59°, β = 23.59°, γ = 23.59°
With the nearest neighbours (Å) after each atom.
Fractional positions:
1 Te 0.7500 0.7500 0.7500  6 Zr 2.94
2 Zr 0.4977 0.4977 0.4977  3 Te 2.94, 3 Hg 3.03
3 Zr 0.0023 0.0023 0.0023  3 Te 2.94, 3 Hg 3.03
4 Hg 0.2500 0.2500 0.2500  6 Zr 3.03

x | Density functional theory data (GGA-PBE) for a relaxed structure of Zr2HgTe.

Computed properties:
* N(E_F): 0.7697 states/eV/atom
* space group: R3m, No. 160

a = 9.5349 Å, b = 9.5349 Å, c = 9.5349 Å
α = 21.60°, β = 21.60°, γ = 21.60°
With the nearest neighbours (Å) after each atom.
Fractional positions:
1 Zr 0.0025 0.0025 0.0025  3 Te 2.89, 3 Zr 3.12
2 Zr 0.2521 0.2521 0.2521  3 Hg 3.08, 3 Zr 3.12
3 Te 0.7417 0.7417 0.7417  3 Zr 2.89
4 Hg 0.5036 0.5036 0.5036  3 Zr 3.08, 3 Te 3.37

Of them, w has the highest stability.

w | Density functional theory data (GGA-PBE) for a relaxed structure of Zr2HgTe.

Computed properties:
* N(E_F): 0.7187 states/eV/atom
* space group: Cmmm, No. 65

a = 5.0989 Å, b = 5.0989 Å, c = 3.4949 Å
α = 90.00°, β = 90.00°, γ = 99.99°
With the nearest neighbours (Å) after each atom.
Fractional positions:
1 Te 0.0000 0.5000 0.5000  8 Zr 3.09, 2 Hg 3.28
2 Hg 0.5000 0.0000 0.5000  8 Zr 3.09, 2 Te 3.28
3 Zr 0.5000 0.5000 0.0000  4 Hg 3.09, 4 Te 3.09, 2 Zr 3.28
4 Zr 0.0000 0.0000 0.0000  4 Te 3.09, 4 Hg 3.09, 2 Zr 3.28

x | Density functional theory data (GGA-PBE) for a relaxed structure of Zr2HgTe.

Computed properties:
* N(E_F): 0.5880 states/eV/atom
* space group: C2/m, No. 12

a = 5.2601 Å, b = 5.2601 Å, c = 5.1265 Å
α = 60.99°, β = 60.99°, γ = 48.68°
With the nearest neighbours (Å) after each atom.
Fractional positions:
1 Hg 0.2500 0.2500 0.2500  8 Zr 2.99-3.25
2 Zr 0.0043 0.0043 0.9953  4 Te 2.95-3.30, 4 Hg 2.99-3.25
3 Zr 0.4957 0.4957 0.5047  4 Te 2.95-3.30, 4 Hg 2.99-3.25
4 Te 0.7500 0.7500 0.7500  8 Zr 2.95-3.30

Of them, w has the highest stability.

w | Density functional theory data (GGA-PBE) for a relaxed structure of Th4Hg.

Computed properties:
* N(E_F): 2.1112 states/eV/atom
* space group: Pm-3m, No. 221

a = 5.7747 Å, b = 5.7747 Å, c = 5.7747 Å
α = 90.00°, β = 90.00°, γ = 90.00°
With the nearest neighbours (Å) after each atom.
Fractional positions:
1 Th 0.5000 0.5000 0.0000  2 Hg 2.89
2 Th 0.0000 0.0000 0.0000  12 Th 4.08
3 Th 0.5000 0.0000 0.5000  2 Hg 2.89
4 Th 0.0000 0.5000 0.5000  2 Hg 2.89
5 Hg 0.5000 0.5000 0.5000  6 Th 2.89

x | Density functional theory data (GGA-PBE) for a relaxed structure of Th4Hg.

Computed properties:
* N(E_F): 1.5057 states/eV/atom
* space group: P2/m, No. 10

a = 6.9045 Å, b = 6.9045 Å, c = 8.2090 Å
α = 71.78°, β = 71.78°, γ = 60.98°
With the nearest neighbours (Å) after each atom.
Fractional positions:
1 Th 0.0929 0.5928 0.6273  2 Hg 3.35, 10 Th 3.50-3.64
2 Th 0.4072 0.9071 0.3727  2 Hg 3.35, 10 Th 3.50-3.64
3 Th 0.9444 0.9444 0.2241  2 Hg 3.43-3.44, 9 Th 3.43-3.63
4 Th 0.9071 0.4072 0.3727  2 Hg 3.35, 10 Th 3.50-3.64
5 Th 0.0556 0.0556 0.7759  2 Hg 3.43-3.44, 9 Th 3.43-3.63
6 Th 0.5928 0.0929 0.6273  2 Hg 3.35, 10 Th 3.50-3.64
7 Th 0.4445 0.4445 0.2240  9 Th 3.43-3.64, 2 Hg 3.43-3.44
8 Th 0.5555 0.5555 0.7760  9 Th 3.43-3.64, 2 Hg 3.43-3.44
9 Hg 0.7500 0.7500 0.0000  8 Th 3.35-3.44, 2 Hg 3.50
10 Hg 0.2500 0.2500 0.0000  8 Th 3.35-3.44, 2 Hg 3.50

Of them, x has the highest stability.

w | Density functional theory data (GGA-PBE) for a relaxed structure of Th3Hg.

Computed properties:
* N(E_F): 1.0414 states/eV/atom
* space group: Pm-3m, No. 221

a = 4.9221 Å, b = 4.9221 Å, c = 4.9221 Å
α = 90.00°, β = 90.00°, γ = 90.00°
With the nearest neighbours (Å) after each atom.
Fractional positions:
1 Th 0.5000 0.0000 0.5000  8 Th 3.48, 4 Hg 3.48
2 Th 0.0000 0.5000 0.5000  8 Th 3.48, 4 Hg 3.48
3 Th 0.5000 0.5000 0.0000  8 Th 3.48, 4 Hg 3.48
4 Hg 0.0000 0.0000 0.0000  12 Th 3.48

x | Density functional theory data (GGA-PBE) for a relaxed structure of Th3Hg.

Computed properties:
* N(E_F): 1.2361 states/eV/atom
* space group: Pmm2, No. 25

a = 3.4523 Å, b = 3.4498 Å, c = 10.5945 Å
α = 90.00°, β = 90.00°, γ = 90.00°
With the nearest neighbours (Å) after each atom.
Fractional positions:
1 Th 0.5000 0.0000 0.7097  2 Hg 3.29, 8 Th 3.45-3.57
2 Th 0.5000 0.5000 0.1861  4 Hg 3.32, 6 Th 3.41-3.45
3 Th 0.0000 0.5000 0.4638  10 Th 3.41-3.57
4 Hg 0.0000 0.0000 0.9737  6 Th 3.29-3.32, 4 Hg 3.45

y | Density functional theory data (GGA-PBE) for a relaxed structure of Th3Hg.

Computed properties:
* N(E_F): 1.2921 states/eV/atom
* space group: I4/mmm, No. 139

a = 4.8735 Å, b = 4.8735 Å, c = 6.1027 Å
α = 113.53°, β = 113.53°, γ = 90.00°
With the nearest neighbours (Å) after each atom.
Fractional positions:
1 Th 0.5000 0.5000 0.0000  4 Hg 3.45, 8 Th 3.50
2 Th 0.7500 0.2500 0.5000  8 Th 3.45-3.50, 4 Hg 3.50
3 Th 0.2500 0.7500 0.5000  8 Th 3.45-3.50, 4 Hg 3.50
4 Hg 0.0000 0.0000 0.0000  12 Th 3.45-3.50

Of them, w has the highest stability.

w | Density functional theory data (GGA-PBE) for a relaxed structure of Th2TiHg.

Computed properties:
* N(E_F): 1.2073 states/eV/atom
* space group: P4/mmm, No. 123

a = 3.3705 Å, b = 3.3705 Å, c = 9.3868 Å
α = 90.00°, β = 90.00°, γ = 90.00°
With the nearest neighbours (Å) after each atom.
Fractional positions:
1 Ti 0.5000 0.5000 0.0000  8 Th 3.24, 4 Ti 3.37
2 Th 0.0000 0.0000 0.2339  4 Ti 3.24, 4 Th 3.37, 4 Hg 3.45
3 Th 0.0000 0.0000 0.7661  4 Ti 3.24, 4 Th 3.37, 4 Hg 3.45
4 Hg 0.5000 0.5000 0.5000  4 Hg 3.37, 8 Th 3.45

x | Density functional theory data (GGA-PBE) for a relaxed structure of Th2TiHg.

Computed properties:
* N(E_F): 1.3888 states/eV/atom
* space group: P4/mmm, No. 123

a = 4.5912 Å, b = 4.7620 Å, c = 4.7620 Å
α = 90.00°, β = 90.00°, γ = 90.00°
With the nearest neighbours (Å) after each atom.
Fractional positions:
1 Th 0.0000 0.5000 0.0000  4 Hg 3.31, 4 Ti 3.31, 4 Th 3.37
2 Th 0.0000 0.0000 0.5000  4 Hg 3.31, 4 Ti 3.31, 4 Th 3.37
3 Ti 0.5000 0.0000 0.0000  8 Th 3.31, 4 Hg 3.37
4 Hg 0.5000 0.5000 0.5000  8 Th 3.31, 4 Ti 3.37

y | Density functional theory data (GGA-PBE) for a relaxed structure of Th2TiHg.

Computed properties:
* N(E_F): 1.2366 states/eV/atom
* space group: R-3m, No. 166

a = 3.3016 Å, b = 3.3016 Å, c = 11.6434 Å
α = 81.85°, β = 81.85°, γ = 60.00°
With the nearest neighbours (Å) after each atom.
Fractional positions:
1 Th 0.0852 0.0852 0.7444  1 Ti 2.94
2 Th 0.9148 0.9148 0.2556  1 Ti 2.94
3 Hg 0.5000 0.5000 0.5000  6 Hg 3.30, 6 Th 3.39
4 Ti 0.0000 0.0000 0.0000  2 Th 2.94

Of them, w has the highest stability.

w | Density functional theory data (GGA-PBE) for a relaxed structure of ThTiHg2.

Computed properties:
* N(E_F): 0.9910 states/eV/atom
* space group: P4/mmm, No. 123

a = 3.3328 Å, b = 3.3328 Å, c = 8.2982 Å
α = 90.00°, β = 90.00°, γ = 90.00°
With the nearest neighbours (Å) after each atom.
Fractional positions:
1 Th 0.5000 0.5000 0.5000  4 Th 3.33, 8 Hg 3.35
2 Hg 0.0000 0.0000 0.7861  4 Ti 2.95
3 Hg 0.0000 0.0000 0.2139  4 Ti 2.95
4 Ti 0.5000 0.5000 0.0000  8 Hg 2.95

x | Density functional theory data (GGA-PBE) for a relaxed structure of ThTiHg2.

Computed properties:
* N(E_F): 1.2445 states/eV/atom
* space group: Fm-3m, No. 225

a = 5.1752 Å, b = 5.1752 Å, c = 5.1752 Å
α = 60.00°, β = 60.00°, γ = 60.00°
With the nearest neighbours (Å) after each atom.
Fractional positions:
1 Hg 0.2500 0.2500 0.2500  4 Th 3.17, 4 Ti 3.17
2 Hg 0.7500 0.7500 0.7500  4 Th 3.17, 4 Ti 3.17
3 Ti 0.5000 0.5000 0.5000  8 Hg 3.17
4 Th 0.0000 0.0000 0.0000  8 Hg 3.17

Of them, w has the highest stability.